No. 1
NdCN2, relaxed, DFT PBE-GGA; space-group type = Pnma; E_form (uncorrected) = -59 kJ/mol of atoms
1.0
12.175 0.000 0.000
0.000 3.757 0.000
0.000 0.000 5.184
Nd C N
4 4 8
Direct
0.140 0.250 0.063
0.360 0.750 0.563
0.640 0.250 0.437
0.860 0.750 0.937
0.126 0.750 0.611
0.374 0.250 0.111
0.626 0.750 0.889
0.874 0.250 0.389
0.054 0.750 0.786
0.159 0.750 0.377
0.341 0.250 0.877
0.446 0.250 0.286
0.554 0.750 0.714
0.659 0.750 0.123
0.841 0.250 0.623
0.946 0.250 0.214

No. 2
Nd6CN2, relaxed, DFT PBE-GGA; space-group type = C2/m; E_form (uncorrected) = -60 kJ/mol of atoms
1.0
8.319 -1.838 0.000
8.319 1.838 0.000
-2.255 0.000 7.354
Nd C N
6 1 2
Direct
0.008 0.008 0.235
0.325 0.325 0.436
0.339 0.339 0.896
0.661 0.661 0.104
0.675 0.675 0.564
0.992 0.992 0.765
0.500 0.500 0.000
0.168 0.168 0.336
0.832 0.832 0.664

No. 3
Nd8CN3, relaxed, DFT PBE-GGA; space-group type = C2/m; E_form (uncorrected) = -67 kJ/mol of atoms
1.0
6.352 -3.667 0.000
6.352 3.667 0.000
-4.259 0.000 6.395
Nd C N
8 1 3
Direct
0.237 0.741 0.718
0.239 0.239 0.715
0.259 0.259 0.282
0.259 0.763 0.282
0.741 0.237 0.718
0.741 0.741 0.718
0.761 0.761 0.285
0.763 0.259 0.282
0.500 0.500 0.500
0.000 0.000 0.500
0.000 0.500 0.500
0.500 0.000 0.500

No. 4
Nd6CN4, relaxed, DFT PBE-GGA; space-group type = R-3c; E_form (uncorrected) = -47 kJ/mol of atoms
1.0
5.411 3.124 4.191
-5.411 3.124 4.191
0.000 -6.248 4.191
Nd C N
12 2 8
Direct
0.024 0.954 0.683
0.046 0.317 0.976
0.183 0.454 0.524
0.317 0.976 0.046
0.454 0.524 0.183
0.476 0.817 0.546
0.524 0.183 0.454
0.546 0.476 0.817
0.683 0.024 0.954
0.817 0.546 0.476
0.954 0.683 0.024
0.976 0.046 0.317
0.000 0.000 0.000
0.500 0.500 0.500
0.100 0.750 0.400
0.250 0.250 0.250
0.250 0.600 0.900
0.400 0.100 0.750
0.600 0.900 0.250
0.750 0.400 0.100
0.750 0.750 0.750
0.900 0.250 0.600

No. 5
NdCN2, relaxed, DFT PBE-GGA; space-group type = Pnma; E_form (uncorrected) = -10 kJ/mol of atoms
1.0
10.555 0.000 0.000
0.000 4.096 0.000
0.000 0.000 6.769
Nd C N
4 4 8
Direct
0.102 0.250 0.172
0.398 0.750 0.672
0.602 0.250 0.328
0.898 0.750 0.828
0.088 0.750 0.568
0.412 0.250 0.068
0.588 0.750 0.932
0.912 0.250 0.432
0.087 0.750 0.005
0.177 0.750 0.462
0.323 0.250 0.962
0.413 0.250 0.505
0.587 0.750 0.495
0.677 0.750 0.038
0.823 0.250 0.538
0.913 0.250 0.995

No. 6
Nd4CN, relaxed, DFT PBE-GGA; space-group type = P2/m; E_form (uncorrected) = -47 kJ/mol of atoms
1.0
6.304 0.000 0.000
0.000 3.661 0.000
-0.115 0.000 6.566
Nd C N
4 1 1
Direct
0.159 0.000 0.288
0.333 0.500 0.714
0.667 0.500 0.286
0.841 0.000 0.712
0.500 0.000 0.500
0.000 0.500 0.500

No. 7
Nd12C5N3, relaxed, DFT PBE-GGA; space-group type = Ia-3d; E_form (uncorrected) = -2 kJ/mol of atoms
1.0
-7.625 7.625 7.625
7.625 -7.625 7.625
7.625 7.625 -7.625
Nd C N
48 20 12
Direct
0.040 0.217 0.131
0.040 0.323 0.909
0.085 0.717 0.677
0.085 0.869 0.409
0.091 0.631 0.415
0.091 0.960 0.677
0.131 0.040 0.217
0.131 0.591 0.915
0.177 0.217 0.585
0.177 0.460 0.591
0.217 0.131 0.040
0.217 0.585 0.177
0.283 0.323 0.915
0.283 0.460 0.369
0.323 0.909 0.040
0.323 0.915 0.283
0.369 0.283 0.460
0.369 0.585 0.909
0.409 0.085 0.869
0.409 0.823 0.540
0.415 0.091 0.631
0.415 0.823 0.783
0.460 0.369 0.283
0.460 0.591 0.177
0.540 0.409 0.823
0.540 0.631 0.717
0.585 0.177 0.217
0.585 0.909 0.369
0.591 0.177 0.460
0.591 0.915 0.131
0.631 0.415 0.091
0.631 0.717 0.540
0.677 0.085 0.717
0.677 0.091 0.960
0.717 0.540 0.631
0.717 0.677 0.085
0.783 0.415 0.823
0.783 0.869 0.960
0.823 0.540 0.409
0.823 0.783 0.415
0.869 0.409 0.085
0.869 0.960 0.783
0.909 0.040 0.323
0.909 0.369 0.585
0.915 0.131 0.591
0.915 0.283 0.323
0.960 0.677 0.091
0.960 0.783 0.869
0.000 0.000 0.000
0.000 0.000 0.500
0.000 0.500 0.000
0.000 0.500 0.500
0.125 0.750 0.875
0.125 0.875 0.250
0.250 0.125 0.875
0.250 0.625 0.375
0.375 0.250 0.625
0.375 0.625 0.750
0.500 0.000 0.000
0.500 0.000 0.500
0.500 0.500 0.000
0.500 0.500 0.500
0.625 0.375 0.250
0.625 0.750 0.375
0.750 0.375 0.625
0.750 0.875 0.125
0.875 0.125 0.750
0.875 0.250 0.125
0.125 0.250 0.375
0.125 0.375 0.750
0.250 0.375 0.125
0.250 0.875 0.625
0.375 0.125 0.250
0.375 0.750 0.125
0.625 0.250 0.875
0.625 0.875 0.750
0.750 0.125 0.375
0.750 0.625 0.875
0.875 0.625 0.250
0.875 0.750 0.625

No. 8
Nd2C3N6, relaxed, DFT PBE-GGA; space-group type = C2/m; E_form (uncorrected) = -72 kJ/mol of atoms
1.0
7.470 -1.996 0.000
7.470 1.996 0.000
-0.618 0.000 5.312
Nd C N
2 3 6
Direct
0.135 0.135 0.072
0.865 0.865 0.928
0.000 0.000 0.500
0.328 0.328 0.406
0.672 0.672 0.594
0.010 0.010 0.732
0.311 0.311 0.172
0.343 0.343 0.636
0.657 0.657 0.364
0.689 0.689 0.828
0.990 0.990 0.268

No. 9
Nd5CN2, relaxed, DFT PBE-GGA; space-group type = Cmcm; E_form (uncorrected) = -55 kJ/mol of atoms
1.0
2.574 -6.053 0.000
2.574 6.053 0.000
0.000 0.000 11.959
Nd C N
10 2 4
Direct
0.055 0.945 0.619
0.055 0.945 0.881
0.250 0.750 0.250
0.333 0.667 0.564
0.333 0.667 0.936
0.667 0.333 0.064
0.667 0.333 0.436
0.750 0.250 0.750
0.945 0.055 0.119
0.945 0.055 0.381
0.216 0.784 0.750
0.784 0.216 0.250
0.160 0.840 0.055
0.160 0.840 0.445
0.840 0.160 0.555
0.840 0.160 0.945

No. 10
Nd4C2N, relaxed, DFT PBE-GGA; space-group type = R-3m; E_form (uncorrected) = -43 kJ/mol of atoms
1.0
1.859 1.073 12.899
-1.859 1.073 12.899
0.000 -2.146 12.899
Nd C N
4 2 1
Direct
0.114 0.114 0.114
0.296 0.296 0.296
0.704 0.704 0.704
0.886 0.886 0.886
0.416 0.416 0.416
0.584 0.584 0.584
0.000 0.000 0.000

No. 11
Nd8C3N, relaxed, DFT PBE-GGA; space-group type = C2/m; E_form (uncorrected) = -29 kJ/mol of atoms
1.0
6.385 -3.673 0.000
6.385 3.673 0.000
-4.322 0.000 6.576
Nd C N
8 3 1
Direct
0.237 0.741 0.713
0.238 0.238 0.713
0.259 0.763 0.287
0.260 0.260 0.283
0.740 0.740 0.717
0.741 0.237 0.713
0.762 0.762 0.287
0.763 0.259 0.287
0.000 0.500 0.500
0.500 0.000 0.500
0.500 0.500 0.500
0.000 0.000 0.500

No. 12
NdC6N8, relaxed, DFT PBE-GGA; space-group type = R3; E_form (uncorrected) = 30 kJ/mol of atoms
1.0
3.465 2.000 3.997
-3.465 2.000 3.997
0.000 -4.000 3.997
Nd C N
1 6 8
Direct
0.000 0.000 0.000
0.313 0.668 0.319
0.319 0.313 0.668
0.532 0.893 0.883
0.668 0.319 0.313
0.883 0.532 0.893
0.893 0.883 0.532
0.062 0.720 0.403
0.117 0.405 0.825
0.403 0.062 0.720
0.405 0.825 0.117
0.440 0.440 0.440
0.720 0.403 0.062
0.775 0.775 0.775
0.825 0.117 0.405

| no. | ρ (g/cm3) | E_tot (eV/atom) | Fermi-level density of states (states/eV per cell) |
| --- | --- | --- | --- |
| 1 | 5.2 | -8.272 | 5.06 |
| 2 | 6.7 | -6.676 | 7.66 |
| 3 | 6.7 | -6.719 | 9.00 |
| 4 | 7.3 | -6.954 | 11.91 |
| 5 | 4.2 | -7.762 | 2.50 |
| 6 | 6.6 | -6.593 | 5.79 |
| 7 | 6.9 | -6.439 | 39.81 |
| 8 | 4.3 | -8.673 | 0.00 |
| 9 | 6.8 | -6.786 | 9.66 |
| 10 | 6.6 | -6.993 | 1.29 |
| 11 | 6.5 | -6.483 | 10.87 |
| 12 | 3.3 | -8.132 | 4.79 |